[1]
Entry from the Alexandria database: an optimized crystal structure of Sc2PC (PBE).

```
8
Lattice="-3.2098 3.2098 3.1829 3.2098 -3.2098 3.1829 3.2098 3.2098 -3.1829" Properties=species:S:1:pos:R:3 pbc="T T T"
Sc 4.8147 1.2649 -0.7957
Sc 1.2649 1.6049 0.7957
Sc -1.6049 1.9449 2.3872
Sc 1.9449 1.6049 3.9787
P 3.2098 0.0000 1.5915
P 0.0000 0.0000 3.1829
C 0.0000 0.0000 0.0000
C 0.0000 3.2098 1.5915
```

Summary:
- space group = I-42d
- energy (eV per formula unit) = -29.44
- energy of formation (eV per formula unit) = -2.1
- ρ (Mg/m³) = 3.36

***

[2]
Entry from the Alexandria database: an optimized crystal structure of ScP3C (PBE).

```
5
Lattice="4.9004 0.0000 0.0000 0.0000 4.9004 0.0000 0.0000 0.0000 4.9004" Properties=species:S:1:pos:R:3 pbc="T T T"
Sc 0.0000 0.0000 0.0000
P 0.0000 0.0000 2.4502
P 0.0000 2.4502 0.0000
P 2.4502 0.0000 0.0000
C 2.4502 2.4502 2.4502
```

Summary:
- space group = Pm-3m
- energy (eV per formula unit) = -22.37
- energy above the most stable polymorph in this dataset (eV per atom) = 1.365
- energy of formation (eV per formula unit) = 9.4
- ρ (Mg/m³) = 2.11